The following is a DFT calculation (GGA-PBE) of a geometry-optimized CoMoP2 structure.

Unit cell a=4.4184 b=4.4184 c=4.1471 alpha=76.66 beta=76.66 gamma=40.48
Sites, in units of the cell vectors:
P  0.9969  0.9969  0.0357
P  0.7536  0.7536  0.6842
Co  0.4887  0.4887  0.5993
Mo  0.2609  0.2609  0.1808

Summary:
E_form ... -1.19 eV per formula unit
Magnetization ... 0.001 μB/f.u.
Symmetry ... Cm, No. 8
Calculated total energy ... -7.4873 eV per atom